1.
VASP calculation (PBE) on a geometry-optimized La4Tl3Ga structure.

Output
* E_tot: -4.188 eV per atom
* spin magnetization: 0.00 μB per formula unit
* DFT formation energy: -0.459 eV per atom
* space group: P4/mmm

Cell: 3.8774 3.8774 16.1862 Å, 90.00 90.00 90.00°
Fractional positions:
La 0.0000 0.0000 0.1121
La 0.0000 0.0000 0.3710
La 0.0000 0.0000 0.6290
La 0.0000 0.0000 0.8879
Tl 0.5000 0.5000 0.2428
Tl 0.5000 0.5000 0.5000
Tl 0.5000 0.5000 0.7572
Ga 0.5000 0.5000 0.0000

=====

2.
VASP calculation (PBE) on a geometry-optimized LaTlGa2 structure.

Output
* E_tot: -3.751 eV per atom
* spin magnetization: 0.00 μB per formula unit
* relative energy among the computed polymorphs: 0.00 eV/f.u.
* DFT formation energy: -0.414 eV per atom
* space group: P4/mmm

Cell: 4.6884 4.6884 4.4904 Å, 90.00 90.00 90.00°
Fractional positions:
La 0.0000 0.0000 0.0000
Tl 0.5000 0.5000 0.0000
Ga 0.0000 0.5000 0.5000
Ga 0.5000 0.0000 0.5000

=====

3.
VASP calculation (PBE) on a geometry-optimized La3Tl2Ga structure.

Output
* E_tot: -4.228 eV per atom
* spin magnetization: 0.00 μB per formula unit
* DFT formation energy: -0.471 eV per atom
* space group: P4/mmm

Cell: 3.8688 3.8688 12.0421 Å, 90.00 90.00 90.00°
Fractional positions:
La 0.0000 0.0000 0.0000
La 0.0000 0.0000 0.3487
La 0.0000 0.0000 0.6513
Tl 0.5000 0.5000 0.1728
Tl 0.5000 0.5000 0.8272
Ga 0.5000 0.5000 0.5000

=====

4.
VASP calculation (PBE) on a geometry-optimized La11Tl9Ga4 structure.

Output
* E_tot: -4.110 eV per atom
* spin magnetization: 0.00 μB per formula unit
* DFT formation energy: -0.460 eV per atom
* space group: Cmmm

Cell: 13.1535 13.1535 4.4457 Å, 90.00 90.00 112.32°
Fractional positions:
La 0.0000 0.0000 0.0000
La 0.0704 0.4140 0.0000
La 0.1709 0.8291 0.0000
La 0.2948 0.2948 0.0000
La 0.3681 0.6319 0.0000
La 0.4140 0.0704 0.0000
La 0.5860 0.9296 0.0000
La 0.6319 0.3681 0.0000
La 0.7052 0.7052 0.0000
La 0.8291 0.1709 0.0000
La 0.9296 0.5860 0.0000
Tl 0.0608 0.2128 0.5000
Tl 0.1523 0.6263 0.5000
Tl 0.2128 0.0608 0.5000
Tl 0.3737 0.8477 0.5000
Tl 0.5000 0.5000 0.5000
Tl 0.6263 0.1523 0.5000
Tl 0.7872 0.9392 0.5000
Tl 0.8477 0.3737 0.5000
Tl 0.9392 0.7872 0.5000
Ga 0.2510 0.4486 0.5000
Ga 0.4486 0.2510 0.5000
Ga 0.5514 0.7490 0.5000
Ga 0.7490 0.5514 0.5000

=====

5.
VASP calculation (PBE) on a geometry-optimized La12TlGa5 structure.

Output
* E_tot: -4.637 eV per atom
* spin magnetization: 0.00 μB per formula unit
* DFT formation energy: -0.380 eV per atom
* space group: Immm

Cell: 9.0930 9.0930 9.0930 Å, 112.04 111.14 105.32°
Fractional positions:
La 0.0428 0.2389 0.8039
La 0.1753 0.2724 0.4478
La 0.1753 0.7276 0.9029
La 0.3249 0.0297 0.7048
La 0.3249 0.6201 0.2952
La 0.4350 0.2389 0.1961
La 0.5650 0.7611 0.8039
La 0.6751 0.3799 0.7048
La 0.6751 0.9703 0.2952
La 0.8247 0.2724 0.0971
La 0.8247 0.7276 0.5522
La 0.9572 0.7611 0.1961
Tl 0.5000 0.5000 0.0000
Ga 0.0000 0.0000 0.0000
Ga 0.1191 0.6191 0.5000
Ga 0.3567 0.0000 0.3567
Ga 0.6433 0.0000 0.6433
Ga 0.8809 0.3809 0.5000

=====

6.
VASP calculation (PBE) on a geometry-optimized LaTlGa2 structure.

Output
* E_tot: -3.466 eV per atom
* spin magnetization: 0.00 μB per formula unit
* relative energy among the computed polymorphs: 1.14 eV/f.u.
* DFT formation energy: -0.129 eV per atom
* space group: I-42d

Cell: 4.7410 4.7410 19.9435 Å, 90.00 90.00 90.00°
Fractional positions:
La 0.0000 0.0000 0.0000
La 0.0000 0.5000 0.2500
La 0.5000 0.0000 0.7500
La 0.5000 0.5000 0.5000
Tl 0.0000 0.0000 0.5000
Tl 0.0000 0.5000 0.7500
Tl 0.5000 0.0000 0.2500
Tl 0.5000 0.5000 0.0000
Ga 0.1376 0.2500 0.6250
Ga 0.2500 0.6376 0.8750
Ga 0.2500 0.8624 0.3750
Ga 0.3624 0.2500 0.1250
Ga 0.6376 0.7500 0.1250
Ga 0.7500 0.1376 0.3750
Ga 0.7500 0.3624 0.8750
Ga 0.8624 0.7500 0.6250

=====

7.
VASP calculation (PBE) on a geometry-optimized La2TlGa2 structure.

Output
* E_tot: -3.967 eV per atom
* spin magnetization: 0.00 μB per formula unit
* relative energy among the computed polymorphs: 1.24 eV/f.u.
* DFT formation energy: -0.312 eV per atom
* space group: P4/mbm

Cell: 8.9341 8.9341 3.6371 Å, 90.00 90.00 90.00°
Fractional positions:
La 0.1800 0.3200 0.0000
La 0.3200 0.8200 0.0000
La 0.6800 0.1800 0.0000
La 0.8200 0.6800 0.0000
Tl 0.0000 0.0000 0.0000
Tl 0.5000 0.5000 0.0000
Ga 0.1126 0.6126 0.5000
Ga 0.3874 0.1126 0.5000
Ga 0.6126 0.8874 0.5000
Ga 0.8874 0.3874 0.5000

=====

8.
VASP calculation (PBE) on a geometry-optimized La2TlGa structure.

Output
* E_tot: -3.980 eV per atom
* spin magnetization: 0.40 μB per formula unit
* relative energy among the computed polymorphs: 1.31 eV/f.u.
* DFT formation energy: -0.168 eV per atom
* space group: I-42d

Cell: 8.7129 8.7129 6.5687 Å, 90.00 90.00 90.00°
Fractional positions:
La 0.2279 0.2500 0.1250
La 0.2500 0.7279 0.3750
La 0.2500 0.7721 0.8750
La 0.2721 0.2500 0.6250
La 0.7279 0.7500 0.6250
La 0.7500 0.2279 0.8750
La 0.7500 0.2721 0.3750
La 0.7721 0.7500 0.1250
Tl 0.0000 0.0000 0.5000
Tl 0.0000 0.5000 0.7500
Tl 0.5000 0.0000 0.2500
Tl 0.5000 0.5000 0.0000
Ga 0.0000 0.0000 0.0000
Ga 0.0000 0.5000 0.2500
Ga 0.5000 0.0000 0.7500
Ga 0.5000 0.5000 0.5000

=====

9.
VASP calculation (PBE) on a geometry-optimized La2TlGa structure.

Output
* E_tot: -4.307 eV per atom
* spin magnetization: 0.00 μB per formula unit
* relative energy among the computed polymorphs: 0.00 eV/f.u.
* DFT formation energy: -0.495 eV per atom
* space group: P4/mmm

Cell: 3.8217 3.8217 7.9949 Å, 90.00 90.00 90.00°
Fractional positions:
La 0.0000 0.0000 0.2318
La 0.0000 0.0000 0.7682
Tl 0.5000 0.5000 0.5000
Ga 0.5000 0.5000 0.0000

=====

10.
VASP calculation (PBE) on a geometry-optimized La2TlGa2 structure.

Output
* E_tot: -4.169 eV per atom
* spin magnetization: 0.37 μB per formula unit
* relative energy among the computed polymorphs: 0.23 eV/f.u.
* DFT formation energy: -0.514 eV per atom
* space group: C2/m

Cell: 6.2964 6.2964 11.1584 Å, 115.27 115.27 43.64°
Fractional positions:
La 0.0067 0.0067 0.1804
La 0.1821 0.1821 0.6005
La 0.8179 0.8179 0.3995
La 0.9933 0.9933 0.8196
Tl 0.2891 0.2891 0.1502
Tl 0.7109 0.7109 0.8498
Ga 0.3699 0.3699 0.9317
Ga 0.4661 0.4661 0.6016
Ga 0.5339 0.5339 0.3984
Ga 0.6301 0.6301 0.0683

=====

11.
VASP calculation (PBE) on a geometry-optimized LaTmTlGa structure.

Output
* E_tot: -4.173 eV per atom
* spin magnetization: 0.00 μB per formula unit
* relative energy among the computed polymorphs: 0.00 eV/f.u.
* DFT formation energy: -0.475 eV per atom
* space group: P4mm

Cell: 3.6834 3.6834 7.8198 Å, 90.00 90.00 90.00°
Fractional positions:
La 0.0000 0.0000 0.0000
Tm 0.0000 0.0000 0.5380
Tl 0.5000 0.5000 0.2914
Ga 0.5000 0.5000 0.7480

=====

12.
VASP calculation (PBE) on a geometry-optimized LaTmTlGa structure.

Output
* E_tot: -4.128 eV per atom
* spin magnetization: 0.00 μB per formula unit
* relative energy among the computed polymorphs: 0.18 eV/f.u.
* DFT formation energy: -0.430 eV per atom
* space group: F-43m

Cell: 7.5455 7.5455 7.5455 Å, 90.00 90.00 90.00°
Fractional positions:
La 0.0000 0.0000 0.0000
La 0.0000 0.5000 0.5000
La 0.5000 0.0000 0.5000
La 0.5000 0.5000 0.0000
Tm 0.0000 0.0000 0.5000
Tm 0.0000 0.5000 0.0000
Tm 0.5000 0.0000 0.0000
Tm 0.5000 0.5000 0.5000
Tl 0.2500 0.2500 0.2500
Tl 0.2500 0.7500 0.7500
Tl 0.7500 0.2500 0.7500
Tl 0.7500 0.7500 0.2500
Ga 0.2500 0.2500 0.7500
Ga 0.2500 0.7500 0.2500
Ga 0.7500 0.2500 0.2500
Ga 0.7500 0.7500 0.7500

=====

13.
VASP calculation (PBE) on a geometry-optimized LaTlGaW2 structure.

Output
* E_tot: -5.306 eV per atom
* spin magnetization: 4.66 μB per formula unit
* DFT formation energy: 1.939 eV per atom
* space group: P4/mmm

Cell: 5.4051 5.4051 5.2596 Å, 90.00 90.00 90.00°
Fractional positions:
La 0.0000 0.0000 0.0000
Tl 0.5000 0.5000 0.5000
Ga 0.5000 0.5000 0.0000
W 0.0000 0.5000 0.5000
W 0.5000 0.0000 0.5000

=====

14.
VASP calculation (PBE) on a geometry-optimized LaYTlGa structure.

Output
* E_tot: -4.660 eV per atom
* spin magnetization: 0.00 μB per formula unit
* DFT formation energy: -0.464 eV per atom
* space group: F-43m

Cell: 7.5967 7.5967 7.5967 Å, 90.00 90.00 90.00°
Fractional positions:
La 0.0000 0.0000 0.0000
La 0.0000 0.5000 0.5000
La 0.5000 0.0000 0.5000
La 0.5000 0.5000 0.0000
Y 0.0000 0.0000 0.5000
Y 0.0000 0.5000 0.0000
Y 0.5000 0.0000 0.0000
Y 0.5000 0.5000 0.5000
Tl 0.2500 0.2500 0.7500
Tl 0.2500 0.7500 0.2500
Tl 0.7500 0.2500 0.2500
Tl 0.7500 0.7500 0.7500
Ga 0.2500 0.2500 0.2500
Ga 0.2500 0.7500 0.7500
Ga 0.7500 0.2500 0.7500
Ga 0.7500 0.7500 0.2500

=====

15.
VASP calculation (PBE) on a geometry-optimized La2TlZn4Ga3 structure.

Output
* E_tot: -3.070 eV per atom
* spin magnetization: 0.00 μB per formula unit
* DFT formation energy: -0.431 eV per atom
* space group: P-4m2

Cell: 4.4017 4.4017 10.8462 Å, 90.00 90.00 90.00°
Fractional positions:
La 0.0000 0.5000 0.2351
La 0.5000 0.0000 0.7649
Tl 0.0000 0.0000 0.5000
Zn 0.0000 0.0000 0.0000
Zn 0.0000 0.5000 0.6486
Zn 0.5000 0.0000 0.3514
Zn 0.5000 0.5000 0.0000
Ga 0.0000 0.5000 0.8740
Ga 0.5000 0.0000 0.1260
Ga 0.5000 0.5000 0.5000

=====

16.
VASP calculation (PBE) on a geometry-optimized LaTlZnGa structure.

Output
* E_tot: -3.153 eV per atom
* spin magnetization: 0.00 μB per formula unit
* DFT formation energy: -0.254 eV per atom
* space group: F-43m

Cell: 7.2931 7.2931 7.2931 Å, 90.00 90.00 90.00°
Fractional positions:
La 0.0000 0.0000 0.0000
La 0.0000 0.5000 0.5000
La 0.5000 0.0000 0.5000
La 0.5000 0.5000 0.0000
Tl 0.0000 0.0000 0.5000
Tl 0.0000 0.5000 0.0000
Tl 0.5000 0.0000 0.0000
Tl 0.5000 0.5000 0.5000
Zn 0.2500 0.2500 0.2500
Zn 0.2500 0.7500 0.7500
Zn 0.7500 0.2500 0.7500
Zn 0.7500 0.7500 0.2500
Ga 0.2500 0.2500 0.7500
Ga 0.2500 0.7500 0.2500
Ga 0.7500 0.2500 0.2500
Ga 0.7500 0.7500 0.7500

=====

17.
VASP calculation (PBE) on a geometry-optimized La2TmGa2 structure.

Output
* E_tot: -4.551 eV per atom
* spin magnetization: 0.00 μB per formula unit
* DFT formation energy: -0.475 eV per atom
* space group: C2/m

Cell: 6.4933 6.4933 11.3647 Å, 117.54 117.54 42.75°
Fractional positions:
La 0.0248 0.0248 0.1863
La 0.1863 0.1863 0.6044
La 0.8137 0.8137 0.3956
La 0.9752 0.9752 0.8137
Tm 0.2909 0.2909 0.1325
Tm 0.7091 0.7091 0.8675
Ga 0.3746 0.3746 0.9283
Ga 0.4702 0.4702 0.5981
Ga 0.5298 0.5298 0.4019
Ga 0.6254 0.6254 0.0717

=====

18.
VASP calculation (PBE) on a geometry-optimized La2Tm3Ga4 structure.

Output
* E_tot: -4.517 eV per atom
* spin magnetization: 0.00 μB per formula unit
* relative energy among the computed polymorphs: 0.00 eV/f.u.
* DFT formation energy: -0.586 eV per atom
* space group: P2_1/c

Cell: 8.0013 7.9929 7.6689 Å, 90.00 107.27 90.00°
Fractional positions:
La 0.1921 0.1774 0.0752
La 0.1921 0.3226 0.5752
La 0.8079 0.6774 0.4248
La 0.8079 0.8226 0.9248
Tm 0.2453 0.6756 0.2501
Tm 0.2453 0.8244 0.7501
Tm 0.5000 0.0000 0.5000
Tm 0.5000 0.5000 0.0000
Tm 0.7547 0.1756 0.2499
Tm 0.7547 0.3244 0.7499
Ga 0.0795 0.5335 0.8708
Ga 0.0795 0.9665 0.3708
Ga 0.4973 0.1174 0.8761
Ga 0.4973 0.3826 0.3761
Ga 0.5027 0.6174 0.6239
Ga 0.5027 0.8826 0.1239
Ga 0.9205 0.0335 0.6292
Ga 0.9205 0.4665 0.1292

=====

19.
VASP calculation (PBE) on a geometry-optimized La5Tm4Ga4 structure.

Output
* E_tot: -4.574 eV per atom
* spin magnetization: 0.00 μB per formula unit
* DFT formation energy: -0.372 eV per atom
* space group: I4/m

Cell: 9.1510 9.1510 9.1510 Å, 93.99 93.99 149.39°
Fractional positions:
La 0.0000 0.0000 0.0000
La 0.3031 0.3815 0.6846
La 0.3815 0.6969 0.0785
La 0.6185 0.3031 0.9215
La 0.6969 0.6185 0.3154
Tm 0.0984 0.5965 0.6949
Tm 0.4035 0.0984 0.5020
Tm 0.5965 0.9016 0.4980
Tm 0.9016 0.4035 0.3051
Ga 0.0810 0.2456 0.3265
Ga 0.2456 0.9190 0.1646
Ga 0.7544 0.0810 0.8354
Ga 0.9190 0.7544 0.6735

=====

20.
VASP calculation (PBE) on a geometry-optimized LaTmGa structure.

Output
* E_tot: -4.541 eV per atom
* spin magnetization: 0.84 μB per formula unit
* relative energy among the computed polymorphs: 0.00 eV/f.u.
* DFT formation energy: -0.399 eV per atom
* space group: P4/nmm

Cell: 4.6884 4.6884 7.8312 Å, 90.00 90.00 90.00°
Fractional positions:
La 0.2500 0.2500 0.1419
La 0.7500 0.7500 0.8581
Tm 0.2500 0.7500 0.5000
Tm 0.7500 0.2500 0.5000
Ga 0.2500 0.2500 0.7420
Ga 0.7500 0.7500 0.2580